No. 1
This record from Alexandria describes crystalline Ba6Pb2AuO at its relaxed geometry. The functional is PBE.

Values from the calculation:
Crystal system: orthorhombic
VASP energy (eV for the cell shown): -70.5
Magnetization (μB per formula unit): 0.01
Raw formation energy (eV/atom): -0.807

Cell lengths 8.3232, 11.7914, 8.3186 Å; angles 90.00, 90.00, 90.00 degrees
Closest atoms and distances in Å follow each position.
Space group Pmmn (No. 59, origin choice 2)
Inequivalent atoms, fractional coordinates:
Ba (0.0133, 0.2500, 0.0248)  1 O 2.74
Ba (0.0189, 0.2500, 0.4917)  1 O 2.76
Ba (0.2500, 0.0170, 0.2543)  1 O 2.75
Pb (0.2500, 0.5009, 0.7476)  12 Ba 4.11-4.24
Au (0.2500, 0.7500, 0.2447)  6 Ba 3.13-3.15
O (0.2500, 0.2500, 0.2538)  6 Ba 2.74-2.76



No. 2
This record from Alexandria describes crystalline Ba2PdAu2O6 at its relaxed geometry. The functional is PBE.

Values from the calculation:
Crystal system: trigonal
VASP energy (eV for the cell shown): -166.5
Magnetization (μB per formula unit): 2.06
Raw formation energy (eV/atom): -0.922

Cell lengths 6.2369, 6.2369, 16.7150 Å; angles 90.00, 90.00, 120.00 degrees
Closest atoms and distances in Å follow each position.
Space group R-3m (No. 166, hexagonal axes)
Inequivalent atoms, fractional coordinates:
Ba (0.0000, 0.0000, 0.2160)  3 O 2.70
Pd (0.0000, 0.0000, 0.0000)  6 O 2.06
Au (0.0000, 0.0000, 0.4081)  3 O 2.08
O (0.0518, 0.5259, 0.7495)  1 Pd 2.06, 1 Au 2.08



No. 3
This record from Alexandria describes crystalline Ba3PdAu2O6 at its relaxed geometry. The functional is PBE.

Values from the calculation:
Crystal system: trigonal
VASP energy (eV for the cell shown): -61.4
Magnetization (μB per formula unit): 0.00
Raw formation energy (eV/atom): -1.181

Cell lengths 6.0077, 6.0077, 6.8379 Å; angles 90.00, 90.00, 120.00 degrees
Closest atoms and distances in Å follow each position.
Space group P-3m1 (No. 164)
Inequivalent atoms, fractional coordinates:
Ba (0.0000, 0.0000, 0.0000)  6 O 2.79
Ba (0.3333, 0.6667, 0.6287)  9 O 2.74-3.02
Pd (0.0000, 0.0000, 0.5000)  6 O 2.08
Au (0.3333, 0.6667, 0.1252)  3 O 2.23
O (0.1632, 0.3263, 0.3235)  1 Pd 2.08, 1 Au 2.23



No. 4
This record from Alexandria describes crystalline Ba5PdAu2O at its relaxed geometry. The functional is PBE.

Values from the calculation:
Crystal system: orthorhombic
VASP energy (eV for the cell shown): -140.6
Magnetization (μB per formula unit): 0.00
Raw formation energy (eV/atom): -0.981

Cell lengths 4.5919, 20.0255, 14.2227 Å; angles 90.00, 90.00, 90.00 degrees
Closest atoms and distances in Å follow each position.
Space group Cmc2_1 (No. 36)
Inequivalent atoms, fractional coordinates:
Ba (0.0000, 0.0085, 0.0000)  1 O 2.44
Ba (0.0000, 0.1568, 0.2545)  1 Pd 3.14, 4 Au 3.43-3.46
Ba (0.0000, 0.1716, 0.6195)  1 O 2.58
Ba (0.0000, 0.2090, 0.9282)  2 Pd 3.16, 2 Au 3.49
Ba (0.0000, 0.4730, 0.2341)  2 O 2.59
Pd (0.0000, 0.3126, 0.2789)  6 Ba 3.14-3.27
Au (0.0000, 0.3698, 0.5759)  7 Ba 3.46-3.87
Au (0.0000, 0.3866, 0.9229)  7 Ba 3.43-3.80
O (0.0000, 0.0452, 0.6543)  4 Ba 2.44-2.59



No. 5
This record from Alexandria describes crystalline Ba2PdAuO4 at its relaxed geometry. The functional is PBE.

Values from the calculation:
Crystal system: tetragonal
VASP energy (eV for the cell shown): -83.8
Magnetization (μB per formula unit): 0.97
Raw formation energy (eV/atom): -1.217

Cell lengths 6.4179, 6.4179, 6.8668 Å; angles 90.00, 90.00, 90.00 degrees
Closest atoms and distances in Å follow each position.
Space group I-4 (No. 82)
Inequivalent atoms, fractional coordinates:
Ba (0.0000, 0.0000, 0.0000)  4 O 2.71
Ba (0.0000, 0.5000, 0.2500)  4 O 2.61
Pd (0.0000, 0.5000, 0.7500)  4 O 2.03
Au (0.0000, 0.0000, 0.5000)  4 O 2.41
O (0.1726, 0.2380, 0.7173)  1 Pd 2.03



No. 6
This record from Alexandria describes crystalline BaPm3Au4O12 at its relaxed geometry. The functional is PBE.

Values from the calculation:
Crystal system: trigonal
VASP energy (eV for the cell shown): -343.1
Magnetization (μB per formula unit): 3.10
Raw formation energy (eV/atom): -1.280

Cell lengths 11.7516, 11.7516, 9.4795 Å; angles 90.00, 90.00, 120.00 degrees
Closest atoms and distances in Å follow each position.
Space group R32 (No. 155, hexagonal axes)
Inequivalent atoms, fractional coordinates:
Ba (0.0000, 0.0000, 0.0000)  6 O 2.78
Pm (0.0000, 0.5566, 0.0000)  6 O 2.31-2.39
Au (0.0000, 0.0000, 0.5000)  3 O 2.01
Au (0.0000, 0.4299, 0.5000)  3 O 1.96-2.02
O (0.0000, 0.6019, 0.5000)  1 Au 2.02
O (0.0000, 0.8294, 0.5000)  1 Au 2.01
O (0.0378, 0.1877, 0.2011)  1 Au 1.96



No. 7
This record from Alexandria describes crystalline Ba2PmAuO5 at its relaxed geometry. The functional is PBE.

Values from the calculation:
Crystal system: orthorhombic
VASP energy (eV for the cell shown): -219.9
Magnetization (μB per formula unit): 0.00
Raw formation energy (eV/atom): -2.034

Cell lengths 3.7065, 14.2697, 12.0595 Å; angles 90.00, 90.00, 90.00 degrees
Closest atoms and distances in Å follow each position.
Space group Cmc2_1 (No. 36)
Inequivalent atoms, fractional coordinates:
Ba (0.0000, 0.0932, 0.0000)  4 O 2.56-2.69
Ba (0.0000, 0.1470, 0.6140)  7 O 2.63-2.93
Pm (0.0000, 0.2078, 0.3355)  4 O 2.22-2.48
Au (0.0000, 0.4786, 0.7600)  3 O 2.06-2.13
O (0.0000, 0.0589, 0.3882)  1 Pm 2.22, 2 Au 2.47
O (0.0000, 0.2708, 0.9557)  2 Pm 2.37, 1 Ba 2.59
O (0.0000, 0.3362, 0.7082)  1 Au 2.13
O (0.0000, 0.3787, 0.3001)  1 Au 2.09
O (0.0000, 0.4831, 0.0950)  1 Au 2.06



No. 8
This record from Alexandria describes crystalline BaPmAuO4 at its relaxed geometry. The functional is PBE.

Values from the calculation:
Crystal system: orthorhombic
VASP energy (eV for the cell shown): -166.6
Magnetization (μB per formula unit): 0.63
Raw formation energy (eV/atom): -1.696

Cell lengths 6.7235, 9.5009, 8.3185 Å; angles 90.00, 90.00, 90.00 degrees
Closest atoms and distances in Å follow each position.
Space group Cmcm (No. 63)
Inequivalent atoms, fractional coordinates:
Ba (0.0000, 0.0000, 0.0000)  6 O 2.68-2.74
Pm (0.0000, 0.3640, 0.2500)  4 O 2.21-2.29
Au (0.0000, 0.3035, 0.7500)  2 O 1.99
O (0.0000, 0.2884, 0.5118)  1 Au 1.99
O (0.2500, 0.0149, 0.2500)  1 Pm 2.21, 1 Au 2.41



Which of these has the lowest raw formation energy? Ba2PmAuO5



Repeat the seventh record exactly.
This record from Alexandria describes crystalline Ba2PmAuO5 at its relaxed geometry. The functional is PBE.

Values from the calculation:
Crystal system: orthorhombic
VASP energy (eV for the cell shown): -219.9
Magnetization (μB per formula unit): 0.00
Raw formation energy (eV/atom): -2.034

Cell lengths 3.7065, 14.2697, 12.0595 Å; angles 90.00, 90.00, 90.00 degrees
Closest atoms and distances in Å follow each position.
Space group Cmc2_1 (No. 36)
Inequivalent atoms, fractional coordinates:
Ba (0.0000, 0.0932, 0.0000)  4 O 2.56-2.69
Ba (0.0000, 0.1470, 0.6140)  7 O 2.63-2.93
Pm (0.0000, 0.2078, 0.3355)  4 O 2.22-2.48
Au (0.0000, 0.4786, 0.7600)  3 O 2.06-2.13
O (0.0000, 0.0589, 0.3882)  1 Pm 2.22, 2 Au 2.47
O (0.0000, 0.2708, 0.9557)  2 Pm 2.37, 1 Ba 2.59
O (0.0000, 0.3362, 0.7082)  1 Au 2.13
O (0.0000, 0.3787, 0.3001)  1 Au 2.09
O (0.0000, 0.4831, 0.0950)  1 Au 2.06